(1)
# HfTi4Ni2 PBE relaxed
# Calculated formation energy, eV per formula unit: -1.19
# N(E_F), states/eV per cell: 16.98
# Spin magnetization, μB/f.u.: 0.00
data_HfTi4Ni2
_cell_length_a 4.0964
_cell_length_b 13.6753
_cell_length_c 4.1003
_cell_angle_alpha 90.00
_cell_angle_beta 90.00
_cell_angle_gamma 90.00
_space_group_name_H-M_alt 'C m m m'
_space_group_IT_number 65
_space_group_name_Hall '-C 2 2'
loop_
_atom_site_label
_atom_site_fract_x
_atom_site_fract_y
_atom_site_fract_z
Hf1 0.0000 0.0000 0.0000
Ti1 0.0000 0.1806 0.5000
Ti2 0.0000 0.3221 0.0000
Ni1 0.0000 0.4190 0.5000



(2)
# Hf4TiNi2 PBE relaxed
# Calculated formation energy, eV per formula unit: 0.62
# N(E_F), states/eV per cell: 29.95
# Spin magnetization, μB/f.u.: 0.00
data_Hf4TiNi2
_cell_length_a 4.6618
_cell_length_b 4.6618
_cell_length_c 21.6668
_cell_angle_alpha 90.00
_cell_angle_beta 90.00
_cell_angle_gamma 120.00
_space_group_name_H-M_alt 'R -3 m'
_space_group_IT_number 166
_space_group_name_Hall '-R 3 2"'
loop_
_atom_site_label
_atom_site_fract_x
_atom_site_fract_y
_atom_site_fract_z
Hf1 0.0000 0.0000 0.1267
Hf2 0.0000 0.0000 0.2799
Ti1 0.0000 0.0000 0.5000
Ni1 0.0000 0.0000 0.3934



(3)
# HfTi2Ni2 PBE relaxed
# Calculated formation energy, eV per formula unit: -1.03
# Excess energy over the best structure of this formula in the dataset, eV per atom: 0.093
# N(E_F), states/eV per cell: 8.87
# Spin magnetization, μB/f.u.: 0.00
data_HfTi2Ni2
_cell_length_a 4.0591
_cell_length_b 4.0591
_cell_length_c 9.8097
_cell_angle_alpha 90.00
_cell_angle_beta 90.00
_cell_angle_gamma 90.00
_space_group_name_H-M_alt 'I 4/m m m'
_space_group_IT_number 139
_space_group_name_Hall '-I 4 2'
loop_
_atom_site_label
_atom_site_fract_x
_atom_site_fract_y
_atom_site_fract_z
Hf1 0.0000 0.0000 0.0000
Ti1 0.0000 0.5000 0.2500
Ni1 0.0000 0.0000 0.3857



(4)
# Hf5TiNi6 PBE relaxed
# Calculated formation energy, eV per formula unit: -4.96
# N(E_F), states/eV per cell: 20.58
# Spin magnetization, μB/f.u.: 1.52
data_Hf5TiNi6
_cell_length_a 13.7779
_cell_length_b 6.5118
_cell_length_c 4.4427
_cell_angle_alpha 90.00
_cell_angle_beta 108.61
_cell_angle_gamma 90.00
_space_group_name_H-M_alt 'C 1 2/m 1'
_space_group_IT_number 12
_space_group_name_Hall '-C 2y'
loop_
_atom_site_label
_atom_site_fract_x
_atom_site_fract_y
_atom_site_fract_z
Hf1 0.0000 0.0000 0.0000
Hf2 0.1483 0.5000 0.6490
Hf3 0.1765 0.0000 0.6772
Ti1 0.0000 0.5000 0.0000
Ni1 0.0000 0.2135 0.5000
Ni2 0.1709 0.2274 0.1725



Number 4 is which compound? Hf5TiNi6